# 1
TaInCuSe3, relaxed, DFT GGA-PBE; calculated total energy = -5.233 eV per atom; magnetization = 0.04 μB/cell; symmetry = No. 63
1.0
1.8113 -7.4094 0.0000
1.8113 7.4094 0.0000
0.0000 0.0000 9.8618
Ta In Se Cu
2 2 6 2
Direct
0.5000 0.5000 0.0000
0.5000 0.5000 0.5000
0.2508 0.7492 0.2500
0.7492 0.2508 0.7500
0.5703 0.4297 0.2500
0.8731 0.1269 0.0453
0.1269 0.8731 0.5453
0.4297 0.5703 0.7500
0.8731 0.1269 0.4547
0.1269 0.8731 0.9547
0.0396 0.9604 0.7500
0.9604 0.0396 0.2500

=====

# 2
BaPrAg2Sb2, relaxed, DFT GGA-PBE; calculated total energy = -4.166 eV per atom; magnetization = 0.04 μB/cell; symmetry = No. 156
1.0
-3.1657 3.6329 -0.0941
1.1326 -2.3155 -4.0723
-6.4216 -5.5601 1.3755
Sb Ag Pr Ba
2 2 1 1
Direct
0.6667 0.3333 0.9837
0.3333 0.6667 0.5137
0.3333 0.6667 0.9503
0.6667 0.3333 0.5530
0.0000 0.0000 0.7494
0.0000 0.0000 0.2500

=====

# 3
Pt2SeS3, relaxed, DFT GGA-PBE; calculated total energy = -4.474 eV per atom; magnetization = 0.00 μB/cell; symmetry = No. 8
1.0
-10.2433 -1.3275 1.3058
-9.5996 -3.9158 -0.9519
1.0856 -3.7791 4.6420
S Se Pt
3 1 2
Direct
0.9296 0.9296 0.2614
0.4356 0.4356 0.7543
0.0670 0.0670 0.2599
0.5744 0.5744 0.7559
0.4968 0.4968 0.4143
0.9967 0.9967 0.9362

=====

# 4
ThBiSb, relaxed, DFT GGA-PBE; relative energy among the computed polymorphs = 10.695 kcal/mol of atoms; magnetization = 0.03 μB/cell; symmetry = No. 216
1.0
2.3698 2.0072 4.3592
-2.9097 2.5709 3.6838
-0.8517 -2.2460 4.7830
Sb Th Bi
1 1 1
Direct
0.7500 0.7500 0.7500
0.0000 0.0000 0.0000
0.2500 0.2500 0.2500

=====

# 5
AlZnAu, relaxed, DFT GGA-PBE; calculated total energy = -3.039 eV per atom; symmetry = No. 216
1.0
0.0000 3.0367 3.0367
3.0367 0.0000 3.0367
3.0367 3.0367 0.0000
Au Zn Al
1 1 1
Direct
0.0000 0.0000 0.0000
0.7500 0.7500 0.7500
0.2500 0.2500 0.2500

=====

# 6
BeCoAgSn, relaxed, DFT GGA-PBE; relative energy among the computed polymorphs = 0.000 kcal/mol of atoms; magnetization = 0.02 μB/cell; symmetry = No. 216
1.0
2.6282 2.5329 2.3962
-1.7039 2.8350 2.8503
0.4001 -0.7099 4.2896
Be Ag Sn Co
1 1 1 1
Direct
0.5000 0.5000 0.5000
0.2500 0.2500 0.2500
0.0000 0.0000 0.0000
0.7500 0.7500 0.7500

=====

# 7
GdScFe2Si2C, relaxed, DFT GGA-PBE; calculated total energy = -7.472 eV per atom; magnetization = 0.02 μB/cell; symmetry = No. 8
1.0
5.2103 -1.9343 0.0000
5.2103 1.9343 0.0000
-4.2022 0.0000 5.1179
Si Sc Gd Fe C
2 1 1 2 1
Direct
0.3419 0.3419 0.8967
0.6564 0.6564 0.1089
0.0561 0.0561 0.3258
0.9379 0.9379 0.6713
0.2984 0.2984 0.1932
0.7039 0.7039 0.8099
0.5053 0.5053 0.4943

=====

# 8
Rb6Ta4S25, relaxed, DFT GGA-PBE; calculated total energy = -5.258 eV per atom; magnetization = 0.00 μB/cell; symmetry = No. 15
1.0
-4.6818 -18.0636 -4.0340
-3.6299 -18.2845 4.1212
-11.8913 4.7437 1.6622
Rb S Ta
12 50 8
Direct
0.3541 0.0672 0.2628
0.9328 0.6459 0.2372
0.6492 0.2820 0.8914
0.3508 0.7180 0.1086
0.2820 0.6492 0.3914
0.6459 0.9328 0.7372
0.3477 0.9013 0.8636
0.7180 0.3508 0.6086
0.9013 0.3477 0.3636
0.6523 0.0987 0.1364
0.0672 0.3541 0.7628
0.0987 0.6523 0.6364
0.3816 0.7719 0.6273
0.9396 0.7902 0.9375
0.6184 0.2281 0.3727
0.4215 0.3410 0.4013
0.0610 0.0270 0.7847
0.5473 0.5508 0.3709
0.5785 0.6590 0.5987
0.2217 0.3959 0.4574
0.2098 0.0604 0.5625
0.9390 0.9730 0.2153
0.6590 0.5785 0.0987
0.7719 0.3816 0.1273
0.7902 0.9396 0.4375
0.4817 0.9207 0.7567
0.0270 0.0610 0.2847
0.7776 0.8510 0.4875
0.0793 0.5183 0.7433
0.7044 0.0700 0.7052
0.9741 0.1147 0.9375
0.9730 0.9390 0.7153
0.4492 0.4527 0.1291
0.0604 0.2098 0.0625
0.7705 0.5156 0.8727
0.9300 0.2956 0.7948
0.0259 0.8853 0.0625
0.6041 0.7783 0.0426
0.5156 0.7705 0.3727
0.5183 0.0793 0.2433
0.6429 0.8133 0.5059
0.1683 0.8317 0.7500
0.9207 0.4817 0.2567
0.3410 0.4215 0.9013
0.2224 0.1490 0.5125
0.1490 0.2224 0.0125
0.2295 0.4844 0.1273
0.7783 0.6041 0.5426
0.3571 0.1867 0.4941
0.8317 0.1683 0.2500
0.1867 0.3571 0.9941
0.8510 0.7776 0.9875
0.3959 0.2217 0.9574
0.0700 0.7044 0.2052
0.5508 0.5473 0.8709
0.2281 0.6184 0.8727
0.2956 0.9300 0.2948
0.8853 0.0259 0.5625
0.1147 0.9741 0.4375
0.4527 0.4492 0.6291
0.8133 0.6429 0.0059
0.4844 0.2295 0.6273
0.7830 0.3924 0.9430
0.4823 0.8736 0.5876
0.2170 0.6076 0.0570
0.8736 0.4823 0.0876
0.1264 0.5177 0.9124
0.3924 0.7830 0.4430
0.5177 0.1264 0.4124
0.6076 0.2170 0.5570

=====

# 9
LiHfNiAs, relaxed, DFT GGA-PBE; relative energy among the computed polymorphs = 0.000 kcal/mol of atoms; magnetization = 0.00 μB/cell; symmetry = No. 216
1.0
0.0000 3.0754 3.0754
3.0754 0.0000 3.0754
3.0754 3.0754 0.0000
Ni Hf Li As
1 1 1 1
Direct
0.7500 0.7500 0.7500
0.5000 0.5000 0.5000
0.2500 0.2500 0.2500
0.0000 0.0000 0.0000

=====

# 10
PuCoSi, relaxed, DFT GGA-PBE; calculated total energy = -8.315 eV per atom; magnetization = 3.97 μB/cell; symmetry = No. 216
1.0
-3.3206 -2.3103 1.4664
-3.8432 1.8586 0.5384
-3.2577 -0.9937 -2.6295
Si Co Pu
1 1 1
Direct
0.2500 0.2500 0.2500
0.7500 0.7500 0.7500
0.0000 0.0000 0.0000

=====

# 11
MgScCd2, relaxed, DFT GGA-PBE; calculated total energy = -2.375 eV per atom; magnetization = 0.01 μB/cell; symmetry = No. 194
1.0
2.4990 -4.3283 0.0000
2.4990 4.3283 0.0000
0.0000 0.0000 8.7047
Sc Mg Cd
2 2 4
Direct
0.3333 0.6667 0.7500
0.6667 0.3333 0.2500
0.0000 0.0000 0.7500
0.0000 0.0000 0.2500
0.3333 0.6667 0.0856
0.6667 0.3333 0.5856
0.6667 0.3333 0.9144
0.3333 0.6667 0.4144